1.
Pm7NdSn5 after structural relaxation, computed with PBE.

extended XYZ file:
```
13
Lattice="-3.6294 2.0769 5.0586 -8.1539 -2.2114 -0.6845 -0.1442 -5.5280 6.4238" Properties=species:S:1:pos:R:3 pbc="T T T"
Sn -8.8885 -4.1268 8.0901
Sn -8.2301 -4.7955 2.3665
Sn -5.8856 -5.4679 8.7504
Sn -3.9993 -6.5474 6.1213
Sn -10.1164 -3.7160 4.9956
Pm -5.4306 -3.2391 1.6913
Pm -2.7881 -4.3332 4.0364
Pm -5.4035 -1.6532 5.3173
Pm -2.8908 -1.2242 2.6862
Pm -8.4942 -1.5333 3.0505
Pm -6.9679 -4.9425 5.5453
Pm -3.2345 -3.7112 7.7184
Nd -3.9043 1.4989 5.0987
```

* raw total energy: -4.944 eV per atom
* energy of formation from the pure elements: -0.48 eV per atom
* SG: Imm2 (44)
* total moment: 0.0 μB/cell
* crystal system: orthorhombic


2.
NaLaTb after structural relaxation, computed with PBE.

extended XYZ file:
```
3
Lattice="-1.5183 -3.0833 0.9977 2.2839 -0.2364 2.7450 -5.7226 5.8435 2.9318" Properties=species:S:1:pos:R:3 pbc="T T T"
Tb -3.4984 2.7409 3.1467
La -1.4924 -0.1906 3.5581
Na -4.9233 2.4973 6.6441
```

* raw total energy: -3.480 eV per atom
* energy of formation from the pure elements: 0.15 eV per atom
* SG: I4mm (107)
* total moment: 0.0 μB/cell
* crystal system: tetragonal


3.
Na2NpBr4O2 after structural relaxation, computed with PBE.

extended XYZ file:
```
9
Lattice="-4.6104 2.0300 1.0558 -2.6569 -6.9963 -1.2232 -0.1488 -4.9313 5.7588" Properties=species:S:1:pos:R:3 pbc="T T T"
Br -4.5341 -5.5902 5.2858
Br -1.6986 -3.3330 3.5996
Br -2.8819 -4.3073 0.3055
Br -5.7174 -6.5645 1.9917
Na -4.2490 -2.2119 2.1806
Na -3.1670 -7.6856 3.4108
O -6.0982 -9.4388 4.9823
O -1.3178 -0.4587 0.6091
Np -2.3052 1.0150 0.5279
```

* raw total energy: -5.299 eV per atom
* SG: C2/m (12)
* uncorrected formation energy: -1.72 eV per atom
* total moment: 1.0 μB/cell
* crystal system: monoclinic


4.
Pm2NdSm after structural relaxation, computed with PBE.

extended XYZ file:
```
4
Lattice="3.6532 0.0000 0.0000 0.0000 3.6532 0.0000 0.0000 0.0000 10.3257" Properties=species:S:1:pos:R:3 pbc="T T T"
Sm 1.8266 1.8266 5.1628
Nd 1.8266 1.8266 0.0000
Pm 0.0000 0.0000 7.7270
Pm 0.0000 0.0000 2.5987
```

* raw total energy: -4.734 eV per atom
* energy of formation from the pure elements: 0.01 eV per atom
* SG: P4/mmm (123)
* total moment: 0.0 μB/cell
* crystal system: tetragonal